1.
First-principles (PBE-GGA) data for a relaxed structure of PrSm2HoEr, as listed in Alexandria via LeMat-Bulk.

The crystal system is monoclinic. The value obtained for the final energy is -43.85 eV/cell. For the formation energy, the calculation gives 0.286 eV/atom. The value obtained for the magnetization is 0.00 μB/cell.

Cell: 8.357 6.619 6.206 Å, 90.00 93.22 90.00°
Fractional positions:
Pr 0.000 0.000 0.000
Pr 0.000 0.000 0.500
Sm 0.308 0.311 0.233
Sm 0.308 0.689 0.733
Sm 0.692 0.311 0.267
Sm 0.692 0.689 0.767
Ho 0.500 0.161 0.750
Ho 0.500 0.839 0.250
Er 0.000 0.429 0.750
Er 0.000 0.571 0.250

2.
First-principles (PBE-GGA) data for a relaxed structure of Pr3SmHoEr, as listed in Alexandria via LeMat-Bulk.

The crystal system is orthorhombic. The value obtained for the final energy is -55.08 eV/cell. For the formation energy, the calculation gives 0.110 eV/atom. The value obtained for the magnetization is 0.00 μB/cell.

Cell: 6.506 6.506 11.871 Å, 90.00 90.00 125.60°
Fractional positions:
Pr 0.169 0.831 0.750
Pr 0.330 0.670 0.023
Pr 0.330 0.670 0.477
Pr 0.670 0.330 0.523
Pr 0.670 0.330 0.977
Pr 0.831 0.169 0.250
Sm 0.000 0.000 0.000
Sm 0.000 0.000 0.500
Ho 0.479 0.521 0.750
Ho 0.521 0.479 0.250
Er 0.146 0.854 0.250
Er 0.854 0.146 0.750

3.
First-principles (PBE-GGA) data for a relaxed structure of PrSm2Ho3Er6, as listed in Alexandria via LeMat-Bulk.

The crystal system is monoclinic. The value obtained for the final energy is -55.08 eV/cell. For the formation energy, the calculation gives 0.021 eV/atom. The value obtained for the magnetization is 0.00 μB/cell.

Cell: 6.148 6.148 11.722 Å, 95.00 95.00 119.95°
Fractional positions:
Pr 0.000 0.000 0.000
Sm 0.333 0.667 0.000
Sm 0.667 0.333 0.000
Ho 0.167 0.833 0.500
Ho 0.500 0.500 0.500
Ho 0.833 0.167 0.500
Er 0.086 0.419 0.253
Er 0.248 0.248 0.747
Er 0.419 0.086 0.253
Er 0.581 0.914 0.747
Er 0.752 0.752 0.253
Er 0.914 0.581 0.747

4.
First-principles (PBE-GGA) data for a relaxed structure of PrSmHo2Er4, as listed in Alexandria via LeMat-Bulk.

The crystal system is monoclinic. The value obtained for the final energy is -66.86 eV/cell. For the formation energy, the calculation gives 0.434 eV/atom. The value obtained for the magnetization is 5.46 μB/cell.

Cell: 9.480 9.480 6.783 Å, 110.96 110.96 88.57°
Fractional positions:
Pr 0.000 0.000 0.000
Pr 0.000 0.000 0.500
Sm 0.000 0.500 0.000
Sm 0.500 0.000 0.500
Ho 0.000 0.500 0.500
Ho 0.500 0.000 0.000
Ho 0.500 0.500 0.000
Ho 0.500 0.500 0.500
Er 0.253 0.256 0.503
Er 0.254 0.746 0.501
Er 0.254 0.746 0.999
Er 0.256 0.253 0.003
Er 0.744 0.747 0.997
Er 0.746 0.254 0.001
Er 0.746 0.254 0.499
Er 0.747 0.744 0.497

Copy entry 1 word for word.
First-principles (PBE-GGA) data for a relaxed structure of PrSm2HoEr, as listed in Alexandria via LeMat-Bulk.

The crystal system is monoclinic. The value obtained for the final energy is -43.85 eV/cell. For the formation energy, the calculation gives 0.286 eV/atom. The value obtained for the magnetization is 0.00 μB/cell.

Cell: 8.357 6.619 6.206 Å, 90.00 93.22 90.00°
Fractional positions:
Pr 0.000 0.000 0.000
Pr 0.000 0.000 0.500
Sm 0.308 0.311 0.233
Sm 0.308 0.689 0.733
Sm 0.692 0.311 0.267
Sm 0.692 0.689 0.767
Ho 0.500 0.161 0.750
Ho 0.500 0.839 0.250
Er 0.000 0.429 0.750
Er 0.000 0.571 0.250